Record 1
A relaxed HfFeCBr2 crystal. Source: the Alexandria database, functional PBE.

Cell: 5.0281 3.5621 5.0281 Å, 90.00 90.00 90.00°
Last column: nearest neighbours and their distance in Å.
Fractional coordinates of all 5 atoms:
C  0.0000  0.0000  0.0000  2 Fe 1.78
Hf  0.5000  0.5000  0.5000  8 Br 3.08
Fe  0.0000  0.5000  0.0000  2 C 1.78
Br  0.0000  0.0000  0.5000  2 C 2.51
Br  0.5000  0.0000  0.0000  2 C 2.51

Computed properties:
Final energy = -25.4 eV/cell
Symmetry = No. 123

***

Record 2
A relaxed Rb2FeCBr6 crystal. Source: the Alexandria database, functional PBE.

Cell: 7.3271 7.3271 7.3278 Å, 60.00 60.00 90.00°
Last column: nearest neighbours and their distance in Å.
Fractional coordinates of all 10 atoms:
C  0.5000  0.5000  0.0000  6 Br 2.56-2.57
Br  0.2522  0.2522  0.4957  1 C 2.57, 1 Fe 2.61
Br  0.7478  0.7478  0.5043  1 C 2.57, 1 Fe 2.61
Br  0.2525  0.2525  0.0000  1 C 2.56, 1 Fe 2.62
Br  0.7475  0.7475  0.0000  1 C 2.56, 1 Fe 2.62
Br  0.7475  0.2525  0.0000  1 C 2.56, 1 Fe 2.62
Br  0.2525  0.7475  0.0000  1 C 2.56, 1 Fe 2.62
Rb  0.7500  0.2500  0.5000  12 Br 3.66
Rb  0.2500  0.7500  0.5000  12 Br 3.66
Fe  0.0000  0.0000  0.0000  6 Br 2.61-2.62

Computed properties:
Final energy = -33.0 eV/cell
Symmetry = No. 225

***

Record 3
A relaxed Fe2ReCBr crystal. Source: the Alexandria database, functional PBE.

Cell: 4.4051 4.4051 3.8223 Å, 90.00 90.00 90.00°
Last column: nearest neighbours and their distance in Å.
Fractional coordinates of all 5 atoms:
Re  0.5000  0.5000  0.5000  8 Fe 2.92, 4 C 3.11
C  0.0000  0.0000  0.5000  2 Br 1.91
Fe  0.0000  0.5000  0.0000  2 Br 2.20
Fe  0.5000  0.0000  0.0000  2 Br 2.20
Br  0.0000  0.0000  0.0000  2 C 1.91

Computed properties:
Final energy = -27.4 eV/cell
Symmetry = No. 123

***

Record 4
A relaxed FeC2SeBr crystal. Source: the Alexandria database, functional PBE.

Cell: 3.9280 5.3927 3.9280 Å, 90.00 90.00 90.00°
Last column: nearest neighbours and their distance in Å.
Fractional coordinates of all 5 atoms:
C  0.0000  0.0000  0.5000  2 Se 1.96
C  0.5000  0.0000  0.0000  2 Se 1.96
Se  0.0000  0.0000  0.0000  4 C 1.96
Br  0.5000  0.5000  0.5000  4 Fe 2.78
Fe  0.0000  0.5000  0.0000  2 Se 2.70, 4 Br 2.78

Computed properties:
Final energy = -21.0 eV/cell
Symmetry = No. 123

***

Record 5
A relaxed VFeC2Br crystal. Source: the Alexandria database, functional PBE.

Cell: 3.7970 5.7022 3.7970 Å, 90.00 90.00 90.00°
Last column: nearest neighbours and their distance in Å.
Fractional coordinates of all 5 atoms:
C  0.0000  0.0000  0.5000  2 V 1.90
C  0.5000  0.0000  0.0000  2 V 1.90
Fe  0.0000  0.5000  0.0000  4 Br 2.68, 2 V 2.85
Br  0.5000  0.5000  0.5000  4 Fe 2.68
V  0.0000  0.0000  0.0000  4 C 1.90

Computed properties:
Final energy = -30.0 eV/cell
Symmetry = No. 123

***

Record 6
A relaxed GaCBr2 crystal. Source: the Alexandria database, functional PBE.

Cell: 4.9841 4.9841 4.9841 Å, 60.00 60.00 60.00°
Last column: nearest neighbours and their distance in Å.
Fractional coordinates of all 4 atoms:
C  0.0000  0.0000  0.0000  8 Br 3.05
Ga  0.5000  0.5000  0.5000  8 Br 3.05
Br  0.2500  0.2500  0.2500  4 Ga 3.05, 4 C 3.05
Br  0.7500  0.7500  0.7500  4 Ga 3.05, 4 C 3.05

Computed properties:
Final energy = -9.7 eV/cell
Excess energy over the best structure of this formula in the dataset = 32.1 kJ per mole of atoms
Symmetry = No. 225